Entry from Alexandria: an optimized crystal structure of Sb2Pd2Pt (GGA-PBE).

Structure (POSCAR):
```
Sb2Pd2Pt
1.0
-1.989 1.989 12.635
1.989 -1.989 12.635
1.989 1.989 -12.635
Sb Pd Pt
4 4 2
Cartesian
1.989 0.995 -4.897 Sb
0.000 0.995 1.420 Sb
1.989 0.995 11.214 Sb
0.000 0.995 17.532 Sb
1.989 0.995 -1.029 Pd
0.000 0.995 5.288 Pd
1.989 0.995 7.346 Pd
0.000 0.995 13.664 Pd
1.989 0.995 3.159 Pt
0.000 0.995 9.476 Pt
```

Energy above the lowest structure with this stoichiometry: 0.00 eV/f.u.
Formation energy (no corrections): -1.50 eV per formula unit